Entry 1:
Computed, not measured: Ga3Re after structural relaxation at the PBEsol level of DFT.

Cell lengths 6.451, 6.451, 6.988 Å; angles 90.00, 90.00, 90.00 degrees
Space group P4_2/mnm (No. 136)
One atom of each set of equivalent atoms:
Ga  0.000  0.500  0.000 (multiplicity 4)
Ga  0.167  0.167  0.244 (multiplicity 8)
Re  0.143  0.857  0.000 (multiplicity 4)

Results
**Raw total energy**: -94.9 eV for the cell shown
**Formation energy**: -0.09 eV per atom
**Fermi-level density of states**: 9.04 states/eV per cell

Entry 2:
Computed, not measured: GaRe3Rh after structural relaxation at the PBEsol level of DFT.

Cell lengths 4.607, 4.607, 4.607 Å; angles 90.00, 90.00, 90.00 degrees
Space group Pm-3m (No. 221)
One atom of each set of equivalent atoms:
Ga  0.000  0.000  0.000 (multiplicity 1)
Re  0.000  0.500  0.500 (multiplicity 3)
Rh  0.500  0.500  0.500 (multiplicity 1)

Results
**Raw total energy**: -39.6 eV for the cell shown
**Formation energy**: 2.37 eV per atom
**Fermi-level density of states**: 7.17 states/eV per cell